# 1
# Be3MoP

A relaxed Be3MoP crystal (GGA-PBE, the Alexandria database).

The calculation puts the formation enthalpy at 0 K at 0.928 eV/atom.

It has space group Pm-3m (No. 221), with a = 3.973 Å, b = 3.973 Å, c = 3.973 Å, α = 90.00°, β = 90.00° and γ = 90.00°. Symmetry generates all atoms from Be at (0.000, 0.000, 0.500), Mo at (0.500, 0.500, 0.500) and P at (0.000, 0.000, 0.000).



# 2
# Nd12Dy5Mg2

A relaxed Nd12Dy5Mg2 crystal (GGA-PBE, the Alexandria database).

The calculation puts the formation enthalpy at 0 K at 0.088 eV/atom.

It has space group C2/m (No. 12), with a = 15.855 Å, b = 9.248 Å, c = 8.636 Å, α = 90.00°, β = 92.64° and γ = 90.00°. Symmetry generates all atoms from Nd at (0.060, 0.000, 0.340), Nd at (0.080, 0.500, 0.881), Nd at (0.127, 0.195, 0.681), Nd at (0.149, 0.315, 0.236), Dy at (0.000, 0.500, 0.500), Dy at (0.203, 0.000, 0.027), Dy at (0.232, 0.500, 0.571) and Mg at (0.000, 0.164, 0.000).



# 3
# CoHCS

A relaxed CoHCS crystal (GGA-PBE, the Alexandria database).

The uncorrected energy is -5.480 eV/atom.

It has space group Pmm2 (No. 25), with a = 3.096 Å, b = 3.261 Å, c = 4.324 Å, α = 90.00°, β = 90.00° and γ = 90.00°. Symmetry generates all atoms from Co at (0.000, 0.000, 0.000), H at (0.000, 0.500, 0.936), C at (0.500, 0.000, 0.734) and S at (0.500, 0.000, 0.360).